(1)
Nd14TmIn: optimized geometry, GGA-PBE.

Formation energy   -42 meV/atom
Raw total energy   -4.66 eV per atom
Total moment   0.0 μB per cell
Crystal system   tetragonal

abc: 7.2447 7.2447 10.3203
angles: 90.00 90.00 89.99
Sites, in units of the cell vectors:
Nd: 0.1235 0.3735 0.2444
Nd: 0.3747 0.1248 0.5000
Nd: 0.1235 0.3735 0.7556
Nd: 0.3754 0.1251 0.0000
Nd: 0.1233 0.8767 0.2441
Nd: 0.6265 0.8765 0.7556
Nd: 0.3749 0.6251 0.5000
Nd: 0.6267 0.3733 0.7554
Nd: 0.8752 0.6253 0.5000
Nd: 0.1233 0.8767 0.7559
Nd: 0.8749 0.6246 0.0000
Nd: 0.6267 0.3733 0.2446
Nd: 0.6265 0.8765 0.2444
Nd: 0.8750 0.1250 0.5000
In: 0.8748 0.1252 0.0000
Tm: 0.3752 0.6248 0.0000

---

(2)
RbCuBi2S4: optimized geometry, GGA-PBE.

Raw formation energy   -0.54 eV/atom
Raw total energy   -4.21 eV per atom
Total moment   0.0 μB per cell
Crystal system   orthorhombic

abc: 4.0716 7.3243 14.4002
angles: 90.00 90.00 106.14
Sites, in units of the cell vectors:
Rb: 0.1054 0.2108 0.7500
Rb: 0.8946 0.7892 0.2500
Cu: 0.1569 0.3139 0.2500
Cu: 0.8431 0.6861 0.7500
Bi: 0.6346 0.2691 0.0579
Bi: 0.6346 0.2691 0.4421
Bi: 0.3654 0.7309 0.5579
Bi: 0.3654 0.7309 0.9421
S: 0.7402 0.4803 0.8893
S: 0.0000 0.0000 0.5000
S: 0.5820 0.1639 0.2500
S: 0.2598 0.5197 0.3893
S: 0.0000 0.0000 0.0000
S: 0.2598 0.5197 0.1107
S: 0.4180 0.8361 0.7500
S: 0.7402 0.4803 0.6107

---

(3)
Pr4In2C: optimized geometry, GGA-PBE.

Formation energy   -252 meV/atom
Raw total energy   -5.08 eV per atom
Total moment   0.0 μB per cell
Crystal system   tetragonal

abc: 5.2451 5.2451 8.6382
angles: 107.67 107.67 90.00
Sites, in units of the cell vectors:
Pr: 0.8359 0.8359 0.6717
Pr: 0.0000 0.5000 0.0000
Pr: 0.1641 0.1641 0.3283
Pr: 0.5000 0.0000 0.0000
C: 0.0000 0.0000 0.0000
In: 0.3720 0.3720 0.7439
In: 0.6280 0.6280 0.2561

---

(4)
Sc5Hg2PtRh2: optimized geometry, GGA-PBE.

Formation energy   -703 meV/atom
Raw total energy   -6.00 eV per atom
Total moment   0.0 μB per cell
Crystal system   tetragonal

abc: 3.3275 11.0426 11.0426
angles: 90.00 90.00 90.00
Sites, in units of the cell vectors:
Hg: 0.0000 0.3302 0.8302
Hg: 0.0000 0.8302 0.6698
Hg: 0.0000 0.1698 0.3302
Hg: 0.0000 0.6698 0.1698
Rh: 0.0000 0.1332 0.6332
Rh: 0.0000 0.3668 0.1332
Rh: 0.0000 0.8668 0.3668
Rh: 0.0000 0.6332 0.8668
Sc: 0.5000 0.0776 0.8062
Sc: 0.5000 0.5776 0.6938
Sc: 0.5000 0.5000 0.0000
Sc: 0.5000 0.8062 0.9224
Sc: 0.5000 0.6938 0.4224
Sc: 0.5000 0.4224 0.3062
Sc: 0.5000 0.0000 0.5000
Sc: 0.5000 0.9224 0.1938
Sc: 0.5000 0.3062 0.5776
Sc: 0.5000 0.1938 0.0776
Pt: 0.0000 0.5000 0.5000
Pt: 0.0000 0.0000 0.0000

---

(5)
UTaNb2: optimized geometry, GGA-PBE.

Formation energy   163 meV/atom
Raw total energy   -10.66 eV per atom
Total moment   0.0 μB per cell
Crystal system   tetragonal
Relative energy among the computed polymorphs   52.1 meV/atom

abc: 3.3722 3.3722 6.6873
angles: 90.00 90.00 90.00
Sites, in units of the cell vectors:
Nb: 0.0000 0.0000 0.2481
Nb: 0.0000 0.0000 0.7519
U: 0.5000 0.5000 0.0000
Ta: 0.5000 0.5000 0.5000

---

(6)
CeUAg: optimized geometry, GGA-PBE.

Formation energy   251 meV/atom
Raw total energy   -6.44 eV per atom
Total moment   0.0 μB per cell
Crystal system   monoclinic

abc: 2.8383 5.9985 8.4919
angles: 70.42 90.00 103.69
Sites, in units of the cell vectors:
U: 0.8825 0.7650 0.8782
U: 0.1175 0.2350 0.1218
Ce: 0.8696 0.7392 0.1907
Ce: 0.1304 0.2608 0.8093
Ag: 0.3769 0.7537 0.5277
Ag: 0.6231 0.2463 0.4723

---

Number 1: V 541.7 Å³ per cell. Number 2: V 412.5 Å³ per cell. Number 3: V 214.6 Å³ per cell. Number 4: V 405.8 Å³ per cell. Number 5: V 76.0 Å³ per cell. Number 6: V 131.9 Å³ per cell.